Here is La2YErS5 after structural relaxation from Alexandria via LeMat-Bulk. Energies are from PBE-GGA.

Unit cell a=4.009 b=8.594 c=13.163 alpha=90.00 beta=90.00 gamma=103.49
Positions (direct):
La 0.862 0.724 0.804
La 0.089 0.178 0.650
La 0.138 0.276 0.304
La 0.911 0.822 0.150
Y 0.546 0.091 0.950
Y 0.454 0.909 0.450
Er 0.774 0.549 0.529
Er 0.226 0.451 0.029
S 0.382 0.764 0.986
S 0.700 0.400 0.891
S 0.494 0.987 0.762
S 0.263 0.526 0.674
S 0.928 0.856 0.577
S 0.618 0.236 0.486
S 0.300 0.600 0.391
S 0.506 0.013 0.262
S 0.737 0.474 0.174
S 0.072 0.144 0.077

For the density of states at the Fermi level, the calculation gives 0.3572 states/eV/atom. The calculated volume is 24.500 Å³/atom. The uncorrected formation energy is -18.213 eV per formula unit.

Here is Zr2PtW2 after structural relaxation from Alexandria via LeMat-Bulk. Energies are from PBE-GGA.

Unit cell a=3.587 b=3.587 c=8.341 alpha=77.58 beta=77.58 gamma=90.00
Positions (direct):
Zr 0.402 0.402 0.197
Zr 0.598 0.598 0.803
W 0.750 0.250 0.500
W 0.250 0.750 0.500
Pt 0.000 0.000 0.000

For the density of states at the Fermi level, the calculation gives 0.9545 states/eV/atom. The calculated volume is 20.446 Å³/atom. As for the formation energy: 1.1 eV/f.u.